1.
Cd3Sn12Au5 | GGA-PBE | relaxed

Properties
* crystal system: cubic
* E_tot: -3.332 eV/atom
* energy of formation from the pure elements: 27 meV/atom
* SG: Ia-3d (230)
* spin magnetization: 0.000 μB per formula unit

a = 14.3795 Å, b = 14.3795 Å, c = 14.3795 Å
α = 109.47°, β = 109.47°, γ = 109.47°
Fractional coordinates of all 80 atoms:
Cd  0.1250  0.2500  0.3750
Cd  0.1250  0.3750  0.7500
Cd  0.2500  0.3750  0.1250
Cd  0.2500  0.8750  0.6250
Cd  0.3750  0.1250  0.2500
Cd  0.3750  0.7500  0.1250
Cd  0.6250  0.2500  0.8750
Cd  0.6250  0.8750  0.7500
Cd  0.7500  0.1250  0.3750
Cd  0.7500  0.6250  0.8750
Cd  0.8750  0.6250  0.2500
Cd  0.8750  0.7500  0.6250
Sn  0.0520  0.2249  0.1230
Sn  0.0520  0.3271  0.9290
Sn  0.0710  0.6230  0.3981
Sn  0.0710  0.9480  0.6729
Sn  0.1019  0.7249  0.6729
Sn  0.1019  0.8770  0.4290
Sn  0.1230  0.0520  0.2249
Sn  0.1230  0.5710  0.8981
Sn  0.1729  0.2249  0.6019
Sn  0.1729  0.4480  0.5710
Sn  0.2249  0.1230  0.0520
Sn  0.2249  0.6019  0.1729
Sn  0.2751  0.3271  0.8981
Sn  0.2751  0.4480  0.3770
Sn  0.3271  0.8981  0.2751
Sn  0.3271  0.9290  0.0520
Sn  0.3770  0.2751  0.4480
Sn  0.3770  0.6019  0.9290
Sn  0.3981  0.0710  0.6230
Sn  0.3981  0.8271  0.7751
Sn  0.4290  0.1019  0.8770
Sn  0.4290  0.8271  0.5520
Sn  0.4480  0.3770  0.2751
Sn  0.4480  0.5710  0.1729
Sn  0.5520  0.4290  0.8271
Sn  0.5520  0.6230  0.7249
Sn  0.5710  0.1729  0.4480
Sn  0.5710  0.8981  0.1230
Sn  0.6019  0.1729  0.2249
Sn  0.6019  0.9290  0.3770
Sn  0.6230  0.3981  0.0710
Sn  0.6230  0.7249  0.5520
Sn  0.6729  0.0710  0.9480
Sn  0.6729  0.1019  0.7249
Sn  0.7249  0.5520  0.6230
Sn  0.7249  0.6729  0.1019
Sn  0.7751  0.3981  0.8271
Sn  0.7751  0.8770  0.9480
Sn  0.8271  0.5520  0.4290
Sn  0.8271  0.7751  0.3981
Sn  0.8770  0.4290  0.1019
Sn  0.8770  0.9480  0.7751
Sn  0.8981  0.1230  0.5710
Sn  0.8981  0.2751  0.3271
Sn  0.9290  0.0520  0.3271
Sn  0.9290  0.3770  0.6019
Sn  0.9480  0.6729  0.0710
Sn  0.9480  0.7751  0.8770
Au  0.0000  0.0000  0.0000
Au  0.0000  0.0000  0.5000
Au  0.0000  0.5000  0.0000
Au  0.0000  0.5000  0.5000
Au  0.1250  0.7500  0.8750
Au  0.1250  0.8750  0.2500
Au  0.2500  0.1250  0.8750
Au  0.2500  0.6250  0.3750
Au  0.3750  0.2500  0.6250
Au  0.3750  0.6250  0.7500
Au  0.5000  0.0000  0.0000
Au  0.5000  0.0000  0.5000
Au  0.5000  0.5000  0.0000
Au  0.5000  0.5000  0.5000
Au  0.6250  0.3750  0.2500
Au  0.6250  0.7500  0.3750
Au  0.7500  0.3750  0.6250
Au  0.7500  0.8750  0.1250
Au  0.8750  0.1250  0.7500
Au  0.8750  0.2500  0.1250

=====

2.
Cd2SnAu2 | GGA-PBE | relaxed

Properties
* crystal system: tetragonal
* E_tot: -2.551 eV/atom
* energy of formation from the pure elements: -73 meV/atom
* SG: I4/mmm (139)
* spin magnetization: 0.000 μB per formula unit

a = 7.3543 Å, b = 7.3543 Å, c = 7.3543 Å
α = 147.64°, β = 147.64°, γ = 46.41°
Fractional coordinates of all 5 atoms:
Cd  0.2500  0.7500  0.5000
Cd  0.7500  0.2500  0.5000
Sn  0.0000  0.0000  0.0000
Au  0.3994  0.3994  0.0000
Au  0.6006  0.6006  0.0000

=====

3.
Cd3SnAu | GGA-PBE | relaxed

Properties
* crystal system: monoclinic
* E above lowest polymorph: 0.00 kcal/mol of atoms
* E_tot: -2.047 eV/atom
* energy of formation from the pure elements: -42 meV/atom
* SG: P2_1/c (14)
* spin magnetization: 0.000 μB per formula unit

a = 7.5297 Å, b = 7.2153 Å, c = 9.5313 Å
α = 90.00°, β = 114.17°, γ = 90.00°
Fractional coordinates of all 20 atoms:
Cd  0.0834  0.2001  0.0645
Cd  0.0834  0.2999  0.5645
Cd  0.2675  0.5501  0.9708
Cd  0.2675  0.9499  0.4708
Cd  0.3979  0.6183  0.7031
Cd  0.3979  0.8817  0.2031
Cd  0.6021  0.1183  0.7969
Cd  0.6021  0.3817  0.2969
Cd  0.7325  0.0501  0.5292
Cd  0.7325  0.4499  0.0292
Cd  0.9166  0.7001  0.4355
Cd  0.9166  0.7999  0.9355
Sn  0.1599  0.5573  0.2779
Sn  0.1599  0.9427  0.7779
Sn  0.8401  0.0573  0.2221
Sn  0.8401  0.4427  0.7221
Au  0.4240  0.1861  0.0117
Au  0.4240  0.3139  0.5117
Au  0.5760  0.6861  0.4883
Au  0.5760  0.8139  0.9883

=====

4.
Cd12Sn5Au3 | GGA-PBE | relaxed

Properties
* crystal system: cubic
* E_tot: -1.914 eV/atom
* energy of formation from the pure elements: 127 meV/atom
* SG: Ia-3d (230)
* spin magnetization: 0.000 μB per formula unit

a = 14.4329 Å, b = 14.4329 Å, c = 14.4329 Å
α = 109.47°, β = 109.47°, γ = 109.47°
Fractional coordinates of all 80 atoms:
Cd  0.0695  0.2357  0.1413
Cd  0.0695  0.3337  0.9282
Cd  0.0718  0.6413  0.4056
Cd  0.0718  0.9305  0.6663
Cd  0.0944  0.7357  0.6663
Cd  0.0944  0.8587  0.4282
Cd  0.1413  0.0695  0.2357
Cd  0.1413  0.5718  0.9056
Cd  0.1663  0.2357  0.5944
Cd  0.1663  0.4305  0.5718
Cd  0.2357  0.1413  0.0695
Cd  0.2357  0.5944  0.1663
Cd  0.2643  0.3337  0.9056
Cd  0.2643  0.4305  0.3587
Cd  0.3337  0.9056  0.2643
Cd  0.3337  0.9282  0.0695
Cd  0.3587  0.2643  0.4305
Cd  0.3587  0.5944  0.9282
Cd  0.4056  0.0718  0.6413
Cd  0.4056  0.8337  0.7643
Cd  0.4282  0.0944  0.8587
Cd  0.4282  0.8337  0.5695
Cd  0.4305  0.3587  0.2643
Cd  0.4305  0.5718  0.1663
Cd  0.5695  0.4282  0.8337
Cd  0.5695  0.6413  0.7357
Cd  0.5718  0.1663  0.4305
Cd  0.5718  0.9056  0.1413
Cd  0.5944  0.1663  0.2357
Cd  0.5944  0.9282  0.3587
Cd  0.6413  0.4056  0.0718
Cd  0.6413  0.7357  0.5695
Cd  0.6663  0.0718  0.9305
Cd  0.6663  0.0944  0.7357
Cd  0.7357  0.5695  0.6413
Cd  0.7357  0.6663  0.0944
Cd  0.7643  0.4056  0.8337
Cd  0.7643  0.8587  0.9305
Cd  0.8337  0.5695  0.4282
Cd  0.8337  0.7643  0.4056
Cd  0.8587  0.4282  0.0944
Cd  0.8587  0.9305  0.7643
Cd  0.9056  0.1413  0.5718
Cd  0.9056  0.2643  0.3337
Cd  0.9282  0.0695  0.3337
Cd  0.9282  0.3587  0.5944
Cd  0.9305  0.6663  0.0718
Cd  0.9305  0.7643  0.8587
Sn  0.0000  0.0000  0.0000
Sn  0.0000  0.0000  0.5000
Sn  0.0000  0.5000  0.0000
Sn  0.0000  0.5000  0.5000
Sn  0.1250  0.7500  0.8750
Sn  0.1250  0.8750  0.2500
Sn  0.2500  0.1250  0.8750
Sn  0.2500  0.6250  0.3750
Sn  0.3750  0.2500  0.6250
Sn  0.3750  0.6250  0.7500
Sn  0.5000  0.0000  0.0000
Sn  0.5000  0.0000  0.5000
Sn  0.5000  0.5000  0.0000
Sn  0.5000  0.5000  0.5000
Sn  0.6250  0.3750  0.2500
Sn  0.6250  0.7500  0.3750
Sn  0.7500  0.3750  0.6250
Sn  0.7500  0.8750  0.1250
Sn  0.8750  0.1250  0.7500
Sn  0.8750  0.2500  0.1250
Au  0.1250  0.2500  0.3750
Au  0.1250  0.3750  0.7500
Au  0.2500  0.3750  0.1250
Au  0.2500  0.8750  0.6250
Au  0.3750  0.1250  0.2500
Au  0.3750  0.7500  0.1250
Au  0.6250  0.2500  0.8750
Au  0.6250  0.8750  0.7500
Au  0.7500  0.1250  0.3750
Au  0.7500  0.6250  0.8750
Au  0.8750  0.6250  0.2500
Au  0.8750  0.7500  0.6250

=====

5.
CdSn3Au | GGA-PBE | relaxed

Properties
* crystal system: monoclinic
* E above lowest polymorph: 0.00 kcal/mol of atoms
* E_tot: -3.282 eV/atom
* energy of formation from the pure elements: -42 meV/atom
* SG: C2/c (15)
* spin magnetization: 0.000 μB per formula unit

a = 6.8303 Å, b = 6.8303 Å, c = 13.0389 Å
α = 106.25°, β = 106.25°, γ = 63.18°
Fractional coordinates of all 20 atoms:
Cd  0.0196  0.8479  0.8360
Cd  0.1521  0.9804  0.6640
Cd  0.8479  0.0196  0.3360
Cd  0.9804  0.1521  0.1640
Sn  0.1194  0.3608  0.8971
Sn  0.2679  0.6694  0.4576
Sn  0.2702  0.4082  0.7013
Sn  0.3306  0.7321  0.0424
Sn  0.3608  0.1194  0.3971
Sn  0.4082  0.2702  0.2013
Sn  0.5918  0.7298  0.7987
Sn  0.6392  0.8806  0.6029
Sn  0.6694  0.2679  0.9576
Sn  0.7298  0.5918  0.2987
Sn  0.7321  0.3306  0.5424
Sn  0.8806  0.6392  0.1029
Au  0.0000  0.5000  0.5000
Au  0.2590  0.7410  0.2500
Au  0.5000  0.0000  0.0000
Au  0.7410  0.2590  0.7500

=====

6.
Cd4SnAu | GGA-PBE | relaxed

Properties
* crystal system: triclinic
* E_tot: -1.852 eV/atom
* energy of formation from the pure elements: -29 meV/atom
* SG: P-1 (2)
* spin magnetization: 0.000 μB per formula unit

a = 5.0321 Å, b = 6.6585 Å, c = 9.4936 Å
α = 104.78°, β = 98.58°, γ = 107.11°
Fractional coordinates of all 12 atoms:
Cd  0.0141  0.4380  0.1428
Cd  0.1172  0.0591  0.3196
Cd  0.3821  0.4344  0.6805
Cd  0.4847  0.0609  0.8573
Cd  0.5153  0.9391  0.1427
Cd  0.6179  0.5656  0.3195
Cd  0.8828  0.9409  0.6804
Cd  0.9859  0.5620  0.8572
Sn  0.2491  0.7480  0.5014
Sn  0.7509  0.2520  0.4986
Au  0.0000  0.0000  0.0000
Au  0.5000  0.5000  0.0000